No. 1
This record from OQMD describes a relaxed MgAl2Ir3 crystal. The functional is PBE.

a = 3.035 Å, b = 3.035 Å, c = 9.235 Å
α = 90.00°, β = 90.00°, γ = 90.00°
Sites, in units of the cell vectors:
Mg  0.000  0.000  0.000
Al  0.000  0.000  0.332
Al  0.000  0.000  0.668
Ir  0.500  0.500  0.179
Ir  0.500  0.500  0.500
Ir  0.500  0.500  0.821

---

No. 2
This record from OQMD describes a relaxed NaTa3Te5 crystal. The functional is PBE.

a = 5.976 Å, b = 5.976 Å, c = 8.461 Å
α = 90.00°, β = 90.00°, γ = 120.00°
Sites, in units of the cell vectors:
Na  0.000  0.000  0.000
Ta  0.000  0.500  0.500
Ta  0.500  0.000  0.500
Ta  0.500  0.500  0.500
Te  0.000  0.000  0.500
Te  0.333  0.667  0.232
Te  0.333  0.667  0.768
Te  0.667  0.333  0.232
Te  0.667  0.333  0.768

---

No. 3
This record from OQMD describes a relaxed PrNb2 crystal. The functional is PBE.

Computed properties:
Energy relative to the elements in eV/atom: 0.29
Energy above the most stable polymorph in this dataset in meV per atom: 0.0

a = 5.803 Å, b = 5.803 Å, c = 5.803 Å
α = 60.00°, β = 60.00°, γ = 60.00°
Sites, in units of the cell vectors:
Pr  0.125  0.125  0.125
Pr  0.875  0.875  0.875
Nb  0.000  0.500  0.500
Nb  0.500  0.000  0.500
Nb  0.500  0.500  0.000
Nb  0.500  0.500  0.500

---

No. 4
This record from OQMD describes a relaxed InNi3As crystal. The functional is PBE.

Computed properties:
Energy above the most stable polymorph in this dataset in meV per atom: 0.6

a = 3.802 Å, b = 5.050 Å, c = 7.280 Å
α = 90.00°, β = 90.00°, γ = 90.00°
Sites, in units of the cell vectors:
In  0.250  0.250  0.055
In  0.750  0.750  0.945
Ni  0.250  0.250  0.423
Ni  0.250  0.502  0.735
Ni  0.250  0.998  0.735
Ni  0.750  0.002  0.265
Ni  0.750  0.498  0.265
Ni  0.750  0.750  0.577
As  0.250  0.750  0.376
As  0.750  0.250  0.624

---

Per-record VASP energy, Ry per atom: -0.496; -0.446; -0.590; -0.371